Density functional theory data (meta-GGA SCAN) for LaZrGe3 at its PBEsol-relaxed geometry.

Properties
space-group type = Pm-3m
raw total energy = -25.15 eV per atom
volume = 145 Å³/f.u.

POSCAR file:
```
LaZrGe3
1.0
5.2593 0.0000 0.0000
0.0000 5.2593 0.0000
0.0000 0.0000 5.2593
Ge Zr La
3 1 1
Cartesian
0.0000 2.6297 0.0000 Ge
0.0000 0.0000 2.6297 Ge
2.6297 0.0000 0.0000 Ge
2.6297 2.6297 2.6297 Zr
0.0000 0.0000 0.0000 La
```